(1)
The following is a PBE-GGA calculation of a relaxed structure of BaAg, from Alexandria via LeMat-Bulk.

Lattice parameters (Å, degrees): 9.8859 9.8859 9.8859 90.00 90.00 90.00
Last column: nearest neighbours and their distance in Å.
Positions (direct):
Ba: 0.2970 0.2970 0.2970  4 Ag 3.30-3.34
Ba: 0.2970 0.7030 0.7030  4 Ag 3.30-3.34
Ba: 0.7030 0.2970 0.7030  4 Ag 3.30-3.34
Ba: 0.7030 0.7030 0.2970  4 Ag 3.30-3.34
Ba: 0.7970 0.7970 0.7970  4 Ag 3.30-3.34
Ba: 0.7970 0.2030 0.2030  4 Ag 3.30-3.34
Ba: 0.2030 0.7970 0.2030  4 Ag 3.30-3.34
Ba: 0.2030 0.2030 0.7970  4 Ag 3.30-3.34
Ag: 0.1044 0.1044 0.1044  3 Ag 2.92
Ag: 0.1044 0.8956 0.8956  3 Ag 2.92
Ag: 0.8956 0.1044 0.8956  3 Ag 2.92
Ag: 0.8956 0.8956 0.1044  3 Ag 2.92
Ag: 0.6044 0.6044 0.6044  3 Ag 2.92
Ag: 0.6044 0.3956 0.3956  3 Ag 2.92
Ag: 0.3956 0.6044 0.3956  3 Ag 2.92
Ag: 0.3956 0.3956 0.6044  3 Ag 2.92

Its symmetry is I-43m (217). As for the mass density: 3.37 g/cm³. The calculated formation energy comes out at 0.269 eV/f.u. As for the crystal system: cubic. As for the spin magnetization: 0.048 μB/atom.

---

(2)
The following is a PBE-GGA calculation of a relaxed structure of Ba3Ag, from Alexandria via LeMat-Bulk.

Lattice parameters (Å, degrees): 6.2569 6.2569 4.7621 90.00 90.00 90.00
Last column: nearest neighbours and their distance in Å.
Positions (direct):
Ba: 0.5000 0.0000 0.5000  4 Ba 3.93, 4 Ag 3.93
Ba: 0.5000 0.5000 0.0000  8 Ba 3.93
Ba: 0.0000 0.5000 0.5000  4 Ag 3.93, 4 Ba 3.93
Ag: 0.0000 0.0000 0.0000  8 Ba 3.93

Its symmetry is P4/mmm (123). The relative energy among the computed polymorphs is 200 meV/atom. As for the mass density: 4.63 g/cm³. The calculated formation energy comes out at 0.285 eV/f.u. As for the crystal system: tetragonal. As for the spin magnetization: 0.000 μB/atom.

---

(3)
The following is a PBE-GGA calculation of a relaxed structure of BaAg, from Alexandria via LeMat-Bulk.

Lattice parameters (Å, degrees): 9.3685 9.3685 9.3685 90.00 90.00 90.00
Last column: nearest neighbours and their distance in Å.
Positions (direct):
Ba: 0.2500 0.5000 0.0000  4 Ag 3.31
Ba: 0.7500 0.5000 0.0000  4 Ag 3.31
Ba: 0.5000 0.0000 0.2500  4 Ag 3.31
Ba: 0.5000 0.0000 0.7500  4 Ag 3.31
Ba: 0.0000 0.2500 0.5000  4 Ag 3.31
Ba: 0.0000 0.7500 0.5000  4 Ag 3.31
Ag: 0.2500 0.0000 0.5000  4 Ba 3.31
Ag: 0.7500 0.0000 0.5000  4 Ba 3.31
Ag: 0.0000 0.5000 0.2500  4 Ba 3.31
Ag: 0.0000 0.5000 0.7500  4 Ba 3.31
Ag: 0.5000 0.2500 0.0000  4 Ba 3.31
Ag: 0.5000 0.7500 0.0000  4 Ba 3.31

Its symmetry is Pm-3n (223). As for the mass density: 2.97 g/cm³. The calculated formation energy comes out at 0.544 eV/f.u. As for the crystal system: cubic. As for the spin magnetization: 0.264 μB/atom.

---

(4)
The following is a PBE-GGA calculation of a relaxed structure of Ba4Ag, from Alexandria via LeMat-Bulk.

Lattice parameters (Å, degrees): 8.0571 8.0571 8.0571 94.01 94.01 149.35
Last column: nearest neighbours and their distance in Å.
Positions (direct):
Ag: 0.0000 0.0000 0.0000  8 Ba 3.58
Ba: 0.7531 0.4328 0.1858  2 Ag 3.58
Ba: 0.4328 0.2469 0.6797  2 Ag 3.58
Ba: 0.2469 0.5672 0.8142  2 Ag 3.58
Ba: 0.5672 0.7531 0.3203  2 Ag 3.58

Its symmetry is I4/m (87). The relative energy among the computed polymorphs is 0 meV/atom. As for the mass density: 4.24 g/cm³. The calculated formation energy comes out at -0.403 eV/f.u. As for the crystal system: tetragonal. As for the spin magnetization: 0.000 μB/atom.

---

(5)
The following is a PBE-GGA calculation of a relaxed structure of BaAg5, from Alexandria via LeMat-Bulk.

Lattice parameters (Å, degrees): 5.7841 5.7841 5.7841 60.00 60.00 60.00
Last column: nearest neighbours and their distance in Å.
Positions (direct):
Ag: 0.7500 0.7500 0.7500  12 Ag 3.39, 4 Ba 3.54
Ag: 0.3761 0.3761 0.8717  6 Ag 2.87-2.92
Ag: 0.3761 0.3761 0.3761  6 Ag 2.87-2.92
Ag: 0.8717 0.3761 0.3761  6 Ag 2.87-2.92
Ag: 0.3761 0.8717 0.3761  6 Ag 2.87-2.92
Ba: 0.0000 0.0000 0.0000  16 Ag 3.39-3.54

Its symmetry is F-43m (216). The relative energy among the computed polymorphs is 57 meV/atom. As for the mass density: 8.21 g/cm³. The calculated formation energy comes out at -0.535 eV/f.u. As for the crystal system: cubic. As for the spin magnetization: 0.000 μB/atom.

---

(6)
The following is a PBE-GGA calculation of a relaxed structure of BaAg2, from Alexandria via LeMat-Bulk.

Lattice parameters (Å, degrees): 7.2682 7.2682 7.2682 143.97 124.05 68.37
Last column: nearest neighbours and their distance in Å.
Positions (direct):
Ba: 0.3269 0.3269 0.0000  8 Ag 3.41-3.64
Ba: 0.6731 0.6731 0.0000  8 Ag 3.41-3.64
Ag: 0.7881 0.0000 0.7881  5 Ag 2.89-3.00
Ag: 0.1137 0.6137 0.5000  5 Ag 2.73-3.00
Ag: 0.8863 0.3863 0.5000  5 Ag 2.73-3.00
Ag: 0.2119 0.0000 0.2119  5 Ag 2.89-3.00

Its symmetry is Immm (71). As for the mass density: 6.36 g/cm³. The calculated formation energy comes out at -0.491 eV/f.u. As for the crystal system: orthorhombic. As for the spin magnetization: 0.000 μB/atom.

---

(7)
The following is a PBE-GGA calculation of a relaxed structure of Ba3Ag, from Alexandria via LeMat-Bulk.

Lattice parameters (Å, degrees): 4.6666 7.8163 11.4612 90.00 90.00 107.37
Last column: nearest neighbours and their distance in Å.
Positions (direct):
Ba: 0.4207 0.8414 0.7500  2 Ag 3.47
Ba: 0.5793 0.1586 0.2500  2 Ag 3.47
Ba: 0.1426 0.2852 0.9322  2 Ag 3.51
Ba: 0.8574 0.7148 0.0678  2 Ag 3.51
Ba: 0.8574 0.7148 0.4322  2 Ag 3.51
Ba: 0.1426 0.2852 0.5678  2 Ag 3.51
Ag: 0.7482 0.4964 0.7500  6 Ba 3.47-3.51
Ag: 0.2518 0.5036 0.2500  6 Ba 3.47-3.51

Its symmetry is Cmcm (63). The relative energy among the computed polymorphs is 0 meV/atom. As for the mass density: 4.33 g/cm³. The calculated formation energy comes out at -0.514 eV/f.u. As for the crystal system: orthorhombic. As for the spin magnetization: 0.038 μB/atom.

---

(8)
The following is a PBE-GGA calculation of a relaxed structure of BaAg, from Alexandria via LeMat-Bulk.

Lattice parameters (Å, degrees): 5.9822 5.9822 9.1048 90.00 90.00 120.00
Last column: nearest neighbours and their distance in Å.
Positions (direct):
Ba: 0.0000 0.0000 0.2500  3 Ba 3.45, 6 Ag 3.72
Ba: 0.0000 0.0000 0.7500  3 Ba 3.45, 6 Ag 3.72
Ba: 0.3333 0.6667 0.7500  2 Ag 3.18, 3 Ba 3.45
Ba: 0.6667 0.3333 0.2500  2 Ag 3.18, 3 Ba 3.45
Ag: 0.3333 0.6667 0.0988  1 Ag 2.75
Ag: 0.6667 0.3333 0.5988  1 Ag 2.75
Ag: 0.6667 0.3333 0.9012  1 Ag 2.75
Ag: 0.3333 0.6667 0.4012  1 Ag 2.75

Its symmetry is P6_3/mmc (194). As for the mass density: 5.77 g/cm³. The calculated formation energy comes out at 0.190 eV/f.u. As for the crystal system: hexagonal. As for the spin magnetization: 0.000 μB/atom.

---

(9)
The following is a PBE-GGA calculation of a relaxed structure of Ba4Ag3, from Alexandria via LeMat-Bulk.

Lattice parameters (Å, degrees): 6.5859 6.5859 7.0845 90.00 90.00 120.00
Last column: nearest neighbours and their distance in Å.
Positions (direct):
Ba: 0.0000 0.0000 0.2354  1 Ba 3.34, 6 Ag 3.69
Ba: 0.0000 0.0000 0.7646  1 Ba 3.34, 6 Ag 3.69
Ba: 0.6667 0.3333 0.5000  9 Ba 3.80-4.24, 6 Ag 4.02
Ba: 0.3333 0.6667 0.5000  9 Ba 3.80-4.24, 6 Ag 4.02
Ag: 0.0000 0.5000 0.0000  4 Ag 3.29
Ag: 0.5000 0.5000 0.0000  4 Ag 3.29
Ag: 0.5000 0.0000 0.0000  4 Ag 3.29

Its symmetry is P6/mmm (191). The relative energy among the computed polymorphs is 246 meV/atom. As for the mass density: 5.45 g/cm³. The calculated formation energy comes out at 0.420 eV/f.u. As for the crystal system: hexagonal. As for the spin magnetization: 0.000 μB/atom.

---

(10)
The following is a PBE-GGA calculation of a relaxed structure of BaAg, from Alexandria via LeMat-Bulk.

Lattice parameters (Å, degrees): 9.8741 16.8009 6.9181 90.00 90.00 90.00
Last column: nearest neighbours and their distance in Å.
Positions (direct):
Ba: 0.3163 0.0000 0.0000  4 Ag 3.36-3.42, 3 Ba 3.63-3.70
Ba: 0.6837 0.0000 0.0000  4 Ag 3.36-3.42, 3 Ba 3.63-3.70
Ba: 0.9337 0.7500 0.2500  4 Ag 3.36-3.42, 3 Ba 3.63-3.70
Ba: 0.5663 0.7500 0.2500  4 Ag 3.36-3.42, 3 Ba 3.63-3.70
Ba: 0.3163 0.5000 0.5000  4 Ag 3.36-3.42, 3 Ba 3.63-3.70
Ba: 0.6837 0.5000 0.5000  4 Ag 3.36-3.42, 3 Ba 3.63-3.70
Ba: 0.9337 0.2500 0.7500  4 Ag 3.36-3.42, 3 Ba 3.63-3.70
Ba: 0.5663 0.2500 0.7500  4 Ag 3.36-3.42, 3 Ba 3.63-3.70
Ba: 0.8163 0.0000 0.5000  4 Ag 3.36-3.42, 3 Ba 3.63-3.70
Ba: 0.1837 0.0000 0.5000  4 Ag 3.36-3.42, 3 Ba 3.63-3.70
Ba: 0.4337 0.7500 0.7500  4 Ag 3.36-3.42, 3 Ba 3.63-3.70
Ba: 0.0663 0.7500 0.7500  4 Ag 3.36-3.42, 3 Ba 3.63-3.70
Ba: 0.8163 0.5000 0.0000  4 Ag 3.36-3.42, 3 Ba 3.63-3.70
Ba: 0.1837 0.5000 0.0000  4 Ag 3.36-3.42, 3 Ba 3.63-3.70
Ba: 0.4337 0.2500 0.2500  4 Ag 3.36-3.42, 3 Ba 3.63-3.70
Ba: 0.0663 0.2500 0.2500  4 Ag 3.36-3.42, 3 Ba 3.63-3.70
Ag: 0.0000 0.9167 0.0000  1 Ag 2.80
Ag: 0.0000 0.0833 0.0000  1 Ag 2.80
Ag: 0.2500 0.8333 0.2500  1 Ag 2.80
Ag: 0.2500 0.6667 0.2500  1 Ag 2.80
Ag: 0.0000 0.4167 0.5000  1 Ag 2.80
Ag: 0.0000 0.5833 0.5000  1 Ag 2.80
Ag: 0.2500 0.3333 0.7500  1 Ag 2.80
Ag: 0.2500 0.1667 0.7500  1 Ag 2.80
Ag: 0.5000 0.9167 0.5000  1 Ag 2.80
Ag: 0.5000 0.0833 0.5000  1 Ag 2.80
Ag: 0.7500 0.8333 0.7500  1 Ag 2.80
Ag: 0.7500 0.6667 0.7500  1 Ag 2.80
Ag: 0.5000 0.4167 0.0000  1 Ag 2.80
Ag: 0.5000 0.5833 0.0000  1 Ag 2.80
Ag: 0.7500 0.3333 0.2500  1 Ag 2.80
Ag: 0.7500 0.1667 0.2500  1 Ag 2.80

Its symmetry is Fddd (70). As for the mass density: 5.68 g/cm³. The calculated formation energy comes out at -0.096 eV/f.u. As for the crystal system: orthorhombic. As for the spin magnetization: 0.000 μB/atom.

---

(11)
The following is a PBE-GGA calculation of a relaxed structure of Ba3Ag, from Alexandria via LeMat-Bulk.

Lattice parameters (Å, degrees): 7.4499 7.4499 7.4499 137.39 137.39 61.84
Last column: nearest neighbours and their distance in Å.
Positions (direct):
Ba: 0.2500 0.7500 0.5000  8 Ba 3.83-4.19, 4 Ag 4.19
Ba: 0.5000 0.5000 0.0000  4 Ag 3.83, 8 Ba 4.19
Ba: 0.7500 0.2500 0.5000  8 Ba 3.83-4.19, 4 Ag 4.19
Ag: 0.0000 0.0000 0.0000  12 Ba 3.83-4.19

Its symmetry is I4/mmm (139). The relative energy among the computed polymorphs is 225 meV/atom. As for the mass density: 4.61 g/cm³. The calculated formation energy comes out at 0.384 eV/f.u. As for the crystal system: tetragonal. As for the spin magnetization: 0.000 μB/atom.

---

(12)
The following is a PBE-GGA calculation of a relaxed structure of Ba3Ag2, from Alexandria via LeMat-Bulk.

Lattice parameters (Å, degrees): 4.1799 4.1799 12.0286 100.01 100.01 90.00
Last column: nearest neighbours and their distance in Å.
Positions (direct):
Ba: 0.0000 0.0000 0.0000  8 Ag 3.62, 2 Ba 4.02
Ba: 0.1723 0.1723 0.3445  4 Ag 3.53
Ba: 0.8277 0.8277 0.6555  4 Ag 3.53
Ag: 0.4103 0.4103 0.8206  8 Ba 3.53-3.62
Ag: 0.5897 0.5897 0.1794  8 Ba 3.53-3.62

Its symmetry is I4/mmm (139). The relative energy among the computed polymorphs is 23 meV/atom. As for the mass density: 5.12 g/cm³. The calculated formation energy comes out at -0.982 eV/f.u. As for the crystal system: tetragonal. As for the spin magnetization: 0.000 μB/atom.